Here is crystalline LiMgTlPb2 at its relaxed geometry from Alexandria via LeMat-Bulk. Energies are from PBE.

a = 5.973 Å, b = 5.288 Å, c = 5.973 Å
α = 90.00°, β = 90.00°, γ = 90.00°
Element x y z (fractional)
1 Pb 0.000 0.000 0.500
2 Pb 0.500 0.000 0.000
3 Tl 0.000 0.000 0.000
4 Mg 0.000 0.500 0.000
5 Li 0.500 0.500 0.500

Values from the calculation:
Density = 5.7 g cm⁻³
Crystal system = tetragonal
DOS(E_F) = 0.64 states/eV/atom
Magnetic moment = 0.00 μB/cell
Raw total energy = -2.20 eV per atom
Energy relative to the elements = 0.454 eV/atom